Entry 1:
A relaxed structure of Al4Ni15Sb, computed with PBE.

Unit cell a=3.607 b=3.607 c=17.918 alpha=90.00 beta=90.00 gamma=90.00
Space group P4/mmm (No. 123)
Unique sites:
1 Al 0.000 0.000 0.098 x2
2 Al 0.000 0.000 0.293 x2
3 Ni 0.000 0.500 0.000 x2
4 Ni 0.000 0.500 0.196 x4
5 Ni 0.000 0.500 0.393 x4
6 Ni 0.500 0.500 0.098 x2
7 Ni 0.500 0.500 0.295 x2
8 Ni 0.500 0.500 0.500 x1
9 Sb 0.000 0.000 0.500 x1

Computed properties:
total moment = 2.5 μB per formula unit
formation energy from raw total energies = -0.37 eV/atom


Entry 2:
A relaxed structure of Al2NiSb, computed with PBE.

Unit cell a=6.544 b=6.544 c=6.544 alpha=90.00 beta=90.00 gamma=90.00
Space group F-43m (No. 216)
Unique sites:
1 Al 0.000 0.000 0.000 x4
2 Al 0.250 0.250 0.250 x4
3 Ni 0.250 0.250 0.750 x4
4 Sb 0.000 0.000 0.500 x4

Computed properties:
total moment = 0.0 μB per formula unit
formation energy from raw total energies = 0.19 eV/atom


Entry 3:
A relaxed structure of Al2NiSb, computed with PBE.

Unit cell a=2.995 b=2.995 c=7.687 alpha=90.00 beta=90.00 gamma=90.00
Space group P4/mmm (No. 123)
Unique sites:
1 Al 0.000 0.000 0.181 x2
2 Ni 0.500 0.500 0.000 x1
3 Sb 0.500 0.500 0.500 x1

Computed properties:
total moment = 0.0 μB per formula unit
formation energy from raw total energies = -0.12 eV/atom


Entry 4:
A relaxed structure of AlNi4Sb, computed with PBE.

Unit cell a=6.827 b=6.827 c=6.827 alpha=90.00 beta=90.00 gamma=90.00
Space group F-43m (No. 216)
Unique sites:
1 Al 0.000 0.000 0.000 x4
2 Ni 0.126 0.126 0.374 x16
3 Sb 0.250 0.250 0.750 x4

Computed properties:
total moment = 0.0 μB per formula unit
E above lowest polymorph = 68 meV per atom
formation energy from raw total energies = -0.10 eV/atom


Entry 5:
A relaxed structure of Al2Ni8Sb, computed with PBE.

Unit cell a=12.954 b=3.713 c=5.749 alpha=90.00 beta=106.06 gamma=90.00
Space group C2/m (No. 12)
Unique sites:
1 Al 0.220 0.000 0.153 x4
2 Ni 0.042 0.000 0.219 x4
3 Ni 0.095 0.500 0.966 x4
4 Ni 0.148 0.000 0.703 x4
5 Ni 0.182 0.500 0.416 x4
6 Sb 0.000 0.500 0.500 x2

Computed properties:
total moment = 0.0 μB per formula unit
formation energy from raw total energies = -0.31 eV/atom


Entry 6:
A relaxed structure of Al2NiSb, computed with PBE.

Unit cell a=8.053 b=3.172 c=5.757 alpha=90.00 beta=103.23 gamma=90.00
Space group C2/m (No. 12)
Unique sites:
1 Al 0.229 0.000 0.175 x4
2 Ni 0.000 0.500 0.000 x2
3 Sb 0.000 0.000 0.500 x2

Computed properties:
total moment = 0.0 μB per formula unit
formation energy from raw total energies = -0.04 eV/atom


Entry 7:
A relaxed structure of Al2Ni2Sb, computed with PBE.

Unit cell a=7.125 b=7.125 c=2.951 alpha=90.00 beta=90.00 gamma=90.00
Space group P4/mbm (No. 127)
Unique sites:
1 Al 0.144 0.356 0.000 x4
2 Ni 0.144 0.644 0.500 x4
3 Sb 0.000 0.000 0.500 x2

Computed properties:
total moment = 0.0 μB per formula unit
E above lowest polymorph = 0 meV per atom
formation energy from raw total energies = -0.25 eV/atom


Entry 8:
A relaxed structure of AlNi4Sb, computed with PBE.

Unit cell a=5.335 b=7.079 c=4.562 alpha=90.00 beta=112.35 gamma=90.00
Space group P2_1/c (No. 14)
Unique sites:
1 Al 0.000 0.000 0.000 x2
2 Ni 0.110 0.163 0.580 x4
3 Ni 0.358 0.658 0.416 x4
4 Sb 0.500 0.000 0.500 x2

Computed properties:
total moment = 0.0 μB per formula unit
E above lowest polymorph = 0 meV per atom
formation energy from raw total energies = -0.17 eV/atom